# Nd7Ho12Er

A relaxed Nd7Ho12Er crystal (PBE, Alexandria).

Cell: 11.291 11.291 11.291 Å, 90.00 90.00 90.00°
Space group Im-3m (No. 229)
Unique sites:
1 Nd 0.000 0.000 0.500
2 Nd 0.250 0.250 0.250
3 Ho 0.000 0.245 0.245
4 Er 0.000 0.000 0.000

Output
Energy of formation from the pure elements ... 650 meV/atom
Crystal system ... cubic
Energy above the most stable polymorph in this dataset ... 419 meV per atom



# AlHg2W

A relaxed AlHg2W crystal (PBE, Alexandria).

Cell: 3.945 3.945 9.508 Å, 90.00 90.00 90.00°
Space group I4/mmm (No. 139)
Unique sites:
1 Al 0.000 0.000 0.000
2 Hg 0.000 0.500 0.250
3 W 0.000 0.000 0.500

Output
Energy of formation from the pure elements ... 638 meV/atom
Crystal system ... tetragonal



# YMg2Be2

A relaxed YMg2Be2 crystal (PBE, Alexandria).

Cell: 4.397 4.397 9.805 Å, 90.00 90.00 90.00°
Space group I4/mmm (No. 139)
Unique sites:
1 Y 0.000 0.000 0.000
2 Mg 0.000 0.000 0.360
3 Be 0.000 0.500 0.250

Output
Energy of formation from the pure elements ... 280 meV/atom
Crystal system ... tetragonal
Energy above the most stable polymorph in this dataset ... 0 meV per atom



# Sc2AlS

A relaxed Sc2AlS crystal (PBE, Alexandria).

Cell: 6.747 6.747 6.747 Å, 90.00 90.00 90.00°
Space group Fm-3m (No. 225)
Unique sites:
1 Sc 0.250 0.250 0.250
2 Al 0.000 0.000 0.000
3 S 0.000 0.000 0.500

Output
Crystal system ... cubic
Energy above the most stable polymorph in this dataset ... 558 meV per atom
Uncorrected formation energy ... -0.49 eV per atom